No. 1
Computed, not measured: an optimized crystal structure of Ce2FeAs2H4 at the PBE level of DFT.

abc: 5.6270 5.6270 5.6270
angles: 119.82 119.82 90.31
Atoms (fractional coordinates):
Ce  0.2500  0.7500  0.5000
Ce  0.7500  0.2500  0.5000
Fe  0.0000  0.0000  0.0000
As  0.3016  0.3016  0.0000
As  0.6984  0.6984  0.0000
H  0.2031  0.2031  0.4062
H  0.2031  0.7969  0.0000
H  0.7969  0.2031  0.0000
H  0.7969  0.7969  0.5938

Results
Crystal system ... tetragonal
N(E_F) ... 5.4 states/eV/cell
Calculated density ... 6.441 g/cm3
M_tot ... 0.07 μB/cell
DFT total energy ... -5.24 eV/atom

***

No. 2
Computed, not measured: an optimized crystal structure of Ce2FeAs4Ir3 at the PBE level of DFT.

abc: 4.3274 4.3274 9.7311
angles: 90.00 90.00 90.00
Atoms (fractional coordinates):
Ce  0.0000  0.5000  0.2473
Ce  0.5000  0.0000  0.7527
Fe  0.5000  0.5000  0.0000
As  0.0000  0.0000  0.5000
As  0.0000  0.5000  0.8722
As  0.5000  0.0000  0.1278
As  0.5000  0.5000  0.5000
Ir  0.0000  0.0000  0.0000
Ir  0.0000  0.5000  0.6206
Ir  0.5000  0.0000  0.3794

Results
Crystal system ... tetragonal
N(E_F) ... 9.5 states/eV/cell
Calculated density ... 11.048 g/cm3
E_form ... -724.9 meV/atom
M_tot ... 0.92 μB/cell

***

No. 3
Computed, not measured: an optimized crystal structure of CeFe2AsN at the PBE level of DFT.

abc: 5.7227 5.7227 6.8293
angles: 90.00 90.00 141.86
Atoms (fractional coordinates):
Ce  0.0502  0.9498  0.7500
Ce  0.9498  0.0502  0.2500
Fe  0.3384  0.6616  0.5518
Fe  0.3384  0.6616  0.9482
Fe  0.6616  0.3384  0.0518
Fe  0.6616  0.3384  0.4482
As  0.2263  0.7737  0.2500
As  0.7737  0.2263  0.7500
N  0.5000  0.5000  0.0000
N  0.5000  0.5000  0.5000

Results
Formation energy from raw total energies ... -764 meV per atom
Crystal system ... orthorhombic
N(E_F) ... 11.3 states/eV/cell
Calculated density ... 8.192 g/cm3
M_tot ... 0.60 μB/cell

***

No. 4
Computed, not measured: an optimized crystal structure of Ce2FeNi3As4 at the PBE level of DFT.

abc: 4.2103 4.2103 9.3905
angles: 90.00 90.00 90.00
Atoms (fractional coordinates):
Ce  0.0000  0.5000  0.2463
Ce  0.5000  0.0000  0.7537
Fe  0.5000  0.5000  0.0000
Ni  0.0000  0.0000  0.0000
Ni  0.0000  0.5000  0.6174
Ni  0.5000  0.0000  0.3826
As  0.0000  0.0000  0.5000
As  0.0000  0.5000  0.8694
As  0.5000  0.0000  0.1306
As  0.5000  0.5000  0.5000

Results
Crystal system ... tetragonal
N(E_F) ... 8.2 states/eV/cell
Calculated density ... 8.098 g/cm3
E_form ... -785.5 meV/atom
M_tot ... 0.96 μB/cell

***

No. 5
Computed, not measured: an optimized crystal structure of CeFeAs2Rh5 at the PBE level of DFT.

abc: 4.0198 4.0198 10.4389
angles: 90.00 90.00 90.00
Atoms (fractional coordinates):
Ce  0.0000  0.0000  0.0000
Fe  0.0000  0.0000  0.5000
As  0.5000  0.5000  0.2298
As  0.5000  0.5000  0.7702
Rh  0.0000  0.5000  0.3552
Rh  0.0000  0.5000  0.6448
Rh  0.5000  0.0000  0.3552
Rh  0.5000  0.0000  0.6448
Rh  0.5000  0.5000  0.0000

Results
Crystal system ... tetragonal
N(E_F) ... 10.5 states/eV/cell
Calculated density ... 8.469 g/cm3
E_form ... -340.7 meV/atom
M_tot ... 4.47 μB/cell

***

No. 6
Computed, not measured: an optimized crystal structure of CeFeAs2Ru at the PBE level of DFT.

abc: 5.9255 5.9255 5.9255
angles: 139.52 139.52 58.58
Atoms (fractional coordinates):
Ce  0.0000  0.0000  0.0000
Fe  0.2500  0.7500  0.5000
As  0.3692  0.3692  0.0000
As  0.6308  0.6308  0.0000
Ru  0.7500  0.2500  0.5000

Results
Crystal system ... tetragonal
N(E_F) ... 5.1 states/eV/cell
Calculated density ... 8.543 g/cm3
E_form ... -655.5 meV/atom
M_tot ... 0.48 μB/cell

***

No. 7
Computed, not measured: an optimized crystal structure of Ce3GaAs4 at the PBE level of DFT.

abc: 5.9140 5.9140 5.9140
angles: 90.00 90.00 90.00
Atoms (fractional coordinates):
Ce  0.0000  0.0000  0.5000
Ce  0.0000  0.5000  0.0000
Ce  0.5000  0.0000  0.0000
Ga  0.5000  0.5000  0.5000
As  0.0000  0.0000  0.0000
As  0.0000  0.5000  0.5000
As  0.5000  0.0000  0.5000
As  0.5000  0.5000  0.0000

Results
Crystal system ... cubic
N(E_F) ... 17.4 states/eV/cell
Calculated density ... 6.340 g/cm3
E_form ... -970.8 meV/atom
M_tot ... 2.02 μB/cell

***

No. 8
Computed, not measured: an optimized crystal structure of CeGaAs2 at the PBE level of DFT.

abc: 4.5632 4.5632 3.9463
angles: 90.00 90.00 90.00
Atoms (fractional coordinates):
Ce  0.0000  0.0000  0.0000
Ga  0.5000  0.5000  0.0000
As  0.0000  0.5000  0.5000
As  0.5000  0.0000  0.5000

Results
Crystal system ... tetragonal
N(E_F) ... 2.5 states/eV/cell
Calculated density ... 7.268 g/cm3
E_form ... -747.8 meV/atom
M_tot ... 0.00 μB/cell